A geometry-optimized TeAsSe2 structure, computed with PBE.

```
data_TeAsSe2
_cell_length_a 7.015
_cell_length_b 3.981
_cell_length_c 7.367
_cell_angle_alpha 90.00
_cell_angle_beta 107.82
_cell_angle_gamma 90.00
_space_group_name_H-M_alt 'C 1 2/m 1'
_space_group_IT_number 12
loop_
_space_group_symop_operation_xyz
'x,y,z'
'-x,-y,-z'
'-x,y,-z'
'x,-y,z'
'x+1/2,y+1/2,z'
'-x+1/2,-y+1/2,-z'
'-x+1/2,y+1/2,-z'
'x+1/2,-y+1/2,z'
loop_
_atom_site_label
_atom_site_type_symbol
_atom_site_fract_x
_atom_site_fract_y
_atom_site_fract_z
Te1 Te 0.000 0.000 0.000
As1 As 0.000 0.500 0.500
Se1 Se 0.241 0.000 0.724
```

formation energy from raw total energies	0.103	eV per atom
E above lowest polymorph	152	meV/atom
theoretical density	6.11	Mg/m³
N(E_F)	0.484	states/eV/atom

A geometry-optimized TeAsSe2 structure, computed with PBE.

```
data_TeAsSe2
_cell_length_a 7.070
_cell_length_b 7.070
_cell_length_c 7.070
_cell_angle_alpha 90.00
_cell_angle_beta 90.00
_cell_angle_gamma 90.00
_space_group_name_H-M_alt 'F m -3 m'
_space_group_IT_number 225
_space_group_name_Hall '-F 4 2 3'
loop_
_atom_site_label
_atom_site_type_symbol
_atom_site_fract_x
_atom_site_fract_y
_atom_site_fract_z
Te1 Te 0.000 0.000 0.000
As1 As 0.000 0.000 0.500
Se1 Se 0.250 0.250 0.250
```

formation energy from raw total energies	0.429	eV per atom
E above lowest polymorph	478	meV/atom
theoretical density	6.78	Mg/m³
N(E_F)	0.741	states/eV/atom

A geometry-optimized Te2As2Se structure, computed with PBE.

```
data_Te2As2Se
_cell_length_a 7.987
_cell_length_b 7.987
_cell_length_c 4.074
_cell_angle_alpha 90.00
_cell_angle_beta 90.00
_cell_angle_gamma 90.00
_space_group_name_H-M_alt 'P 4/m b m'
_space_group_IT_number 127
_space_group_name_Hall '-P 4 2ab'
loop_
_atom_site_label
_atom_site_type_symbol
_atom_site_fract_x
_atom_site_fract_y
_atom_site_fract_z
Te1 Te 0.147 0.353 0.000
As1 As 0.196 0.696 0.500
Se1 Se 0.000 0.000 0.500
```

formation energy from raw total energies	0.228	eV per atom
theoretical density	6.19	Mg/m³
N(E_F)	0.370	states/eV/atom

A geometry-optimized Te2AsSe structure, computed with PBE.

```
data_Te2AsSe
_cell_length_a 3.912
_cell_length_b 8.325
_cell_length_c 8.067
_cell_angle_alpha 90.00
_cell_angle_beta 90.00
_cell_angle_gamma 90.00
_space_group_name_H-M_alt 'C m m m'
_space_group_IT_number 65
_space_group_name_Hall '-C 2 2'
loop_
_atom_site_label
_atom_site_type_symbol
_atom_site_fract_x
_atom_site_fract_y
_atom_site_fract_z
Te1 Te 0.000 0.000 0.242
As1 As 0.000 0.500 0.000
Se1 Se 0.000 0.500 0.500
```

formation energy from raw total energies	0.275	eV per atom
E above lowest polymorph	222	meV/atom
theoretical density	5.17	Mg/m³
N(E_F)	0.852	states/eV/atom

A geometry-optimized TeAs2Se4 structure, computed with PBE.

```
data_TeAs2Se4
_cell_length_a 7.622
_cell_length_b 7.622
_cell_length_c 7.018
_cell_angle_alpha 90.00
_cell_angle_beta 90.00
_cell_angle_gamma 90.00
_space_group_name_H-M_alt 'I 4/m'
_space_group_IT_number 87
_space_group_name_Hall '-I 4'
loop_
_atom_site_label
_atom_site_type_symbol
_atom_site_fract_x
_atom_site_fract_y
_atom_site_fract_z
Te1 Te 0.000 0.000 0.000
As1 As 0.000 0.500 0.250
Se1 Se 0.179 0.314 0.500
```

formation energy from raw total energies	0.101	eV per atom
theoretical density	4.83	Mg/m³
N(E_F)	0.263	states/eV/atom

A geometry-optimized Te2AsSe2 structure, computed with PBE.

```
data_Te2AsSe2
_cell_length_a 8.244
_cell_length_b 8.244
_cell_length_c 3.759
_cell_angle_alpha 90.00
_cell_angle_beta 90.00
_cell_angle_gamma 90.00
_space_group_name_H-M_alt 'P 4/m b m'
_space_group_IT_number 127
_space_group_name_Hall '-P 4 2ab'
loop_
_atom_site_label
_atom_site_type_symbol
_atom_site_fract_x
_atom_site_fract_y
_atom_site_fract_z
Te1 Te 0.192 0.308 0.000
As1 As 0.000 0.000 0.000
Se1 Se 0.133 0.633 0.500
```

formation energy from raw total energies	0.326	eV per atom
theoretical density	6.34	Mg/m³
N(E_F)	0.713	states/eV/atom

A geometry-optimized TeAs2Se structure, computed with PBE.

```
data_TeAs2Se
_cell_length_a 5.822
_cell_length_b 8.125
_cell_length_c 8.144
_cell_angle_alpha 90.00
_cell_angle_beta 90.00
_cell_angle_gamma 90.00
_space_group_name_H-M_alt 'F m m m'
_space_group_IT_number 69
_space_group_name_Hall '-F 2 2'
loop_
_atom_site_label
_atom_site_type_symbol
_atom_site_fract_x
_atom_site_fract_y
_atom_site_fract_z
Te1 Te 0.000 0.000 0.000
As1 As 0.000 0.250 0.250
Se1 Se 0.000 0.000 0.500
```

formation energy from raw total energies	0.131	eV per atom
E above lowest polymorph	59	meV/atom
theoretical density	6.15	Mg/m³
N(E_F)	0.316	states/eV/atom

A geometry-optimized Te2AsSe structure, computed with PBE.

```
data_Te2AsSe
_cell_length_a 4.1932
_cell_length_b 4.1932
_cell_length_c 21.1547
_cell_angle_alpha 90.00
_cell_angle_beta 90.00
_cell_angle_gamma 120.00
_space_group_name_H-M_alt 'R 3 m'
_space_group_IT_number 160
_space_group_name_Hall 'R 3 -2"'
loop_
_atom_site_label
_atom_site_type_symbol
_atom_site_fract_x
_atom_site_fract_y
_atom_site_fract_z
Te1 Te 0.0000 0.0000 0.0000
Te2 Te 0.0000 0.0000 0.2374
As1 As 0.0000 0.0000 0.4916
Se1 Se 0.0000 0.0000 0.7538
```

formation energy from raw total energies	0.095	eV per atom
E above lowest polymorph	42	meV/atom
theoretical density	6.33	Mg/m³
N(E_F)	0.521	states/eV/atom

A geometry-optimized TeAsSe4 structure, computed with PBE.

```
data_TeAsSe4
_cell_length_a 8.109
_cell_length_b 8.109
_cell_length_c 8.109
_cell_angle_alpha 90.00
_cell_angle_beta 90.00
_cell_angle_gamma 90.00
_space_group_name_H-M_alt 'F -4 3 m'
_space_group_IT_number 216
_space_group_name_Hall 'F -4 2 3'
loop_
_atom_site_label
_atom_site_type_symbol
_atom_site_fract_x
_atom_site_fract_y
_atom_site_fract_z
Te1 Te 0.000 0.000 0.000
As1 As 0.250 0.250 0.750
Se1 Se 0.124 0.124 0.376
```

formation energy from raw total energies	0.778	eV per atom
E above lowest polymorph	777	meV/atom
theoretical density	6.46	Mg/m³
N(E_F)	0.931	states/eV/atom

A geometry-optimized TeAsSe2 structure, computed with PBE.

```
data_TeAsSe2
_cell_length_a 7.133
_cell_length_b 4.128
_cell_length_c 6.994
_cell_angle_alpha 90.00
_cell_angle_beta 107.91
_cell_angle_gamma 90.00
_space_group_name_H-M_alt 'C 1 m 1'
_space_group_IT_number 8
loop_
_space_group_symop_operation_xyz
'x,y,z'
'x,-y,z'
'x+1/2,y+1/2,z'
'x+1/2,-y+1/2,z'
loop_
_atom_site_label
_atom_site_type_symbol
_atom_site_fract_x
_atom_site_fract_y
_atom_site_fract_z
Te1 Te 0.000 0.000 0.000
As1 As 0.258 0.000 0.748
Se1 Se 0.020 0.500 0.525
Se2 Se 0.261 0.500 0.272
```

formation energy from raw total energies	0.103	eV per atom
E above lowest polymorph	152	meV/atom
theoretical density	6.11	Mg/m³
N(E_F)	0.630	states/eV/atom

A geometry-optimized Te4AsSe structure, computed with PBE.

```
data_Te4AsSe
_cell_length_a 8.770
_cell_length_b 8.770
_cell_length_c 8.770
_cell_angle_alpha 90.00
_cell_angle_beta 90.00
_cell_angle_gamma 90.00
_space_group_name_H-M_alt 'F -4 3 m'
_space_group_IT_number 216
_space_group_name_Hall 'F -4 2 3'
loop_
_atom_site_label
_atom_site_type_symbol
_atom_site_fract_x
_atom_site_fract_y
_atom_site_fract_z
Te1 Te 0.125 0.125 0.125
As1 As 0.250 0.250 0.750
Se1 Se 0.000 0.000 0.500
```

formation energy from raw total energies	0.752	eV per atom
theoretical density	6.54	Mg/m³
N(E_F)	1.398	states/eV/atom

A geometry-optimized TeAs3Se structure, computed with PBE.

```
data_TeAs3Se
_cell_length_a 5.051
_cell_length_b 5.051
_cell_length_c 5.051
_cell_angle_alpha 90.00
_cell_angle_beta 90.00
_cell_angle_gamma 90.00
_space_group_name_H-M_alt 'P m -3 m'
_space_group_IT_number 221
_space_group_name_Hall '-P 4 2 3'
loop_
_atom_site_label
_atom_site_type_symbol
_atom_site_fract_x
_atom_site_fract_y
_atom_site_fract_z
Te1 Te 0.000 0.000 0.000
As1 As 0.000 0.500 0.500
Se1 Se 0.500 0.500 0.500
```

formation energy from raw total energies	0.795	eV per atom
E above lowest polymorph	0	meV/atom
theoretical density	5.56	Mg/m³
N(E_F)	0.973	states/eV/atom